Entry 1:
Crystalline KSrDyI6 at its relaxed geometry, computed with PBE.

Cell lengths 8.218, 8.218, 15.251 Å; angles 90.00, 90.00, 120.00 degrees
Fractional positions:
1 K 0.000 0.000 0.000
2 K 0.000 0.000 0.500
3 Sr 0.333 0.667 0.250
4 Sr 0.667 0.333 0.750
5 Dy 0.333 0.667 0.750
6 Dy 0.667 0.333 0.250
7 I 0.023 0.376 0.633
8 I 0.023 0.647 0.867
9 I 0.353 0.376 0.867
10 I 0.353 0.977 0.633
11 I 0.376 0.023 0.133
12 I 0.376 0.353 0.367
13 I 0.624 0.647 0.633
14 I 0.624 0.977 0.867
15 I 0.647 0.023 0.367
16 I 0.647 0.624 0.133
17 I 0.977 0.353 0.133
18 I 0.977 0.624 0.367

Output
Space group: P-31c, No. 163
Formation energy without anion corrections, meV/atom: -1522
VASP energy, eV per atom: -3.375

=====

Entry 2:
Crystalline KDyTl2I6 at its relaxed geometry, computed with PBE.

Cell lengths 9.009, 9.009, 9.009 Å; angles 57.21, 57.21, 57.21 degrees
Fractional positions:
1 K 0.000 0.000 0.000
2 Dy 0.492 0.492 0.492
3 Tl 0.295 0.295 0.295
4 Tl 0.804 0.804 0.804
5 I 0.135 0.696 0.396
6 I 0.255 0.606 0.839
7 I 0.396 0.135 0.696
8 I 0.606 0.839 0.255
9 I 0.696 0.396 0.135
10 I 0.839 0.255 0.606

Output
Space group: R3, No. 146
Formation energy without anion corrections, meV/atom: -1118
VASP energy, eV per atom: -3.091

=====

Entry 3:
Crystalline K2DyTlI6 at its relaxed geometry, computed with PBE.

Cell lengths 9.002, 9.002, 9.002 Å; angles 57.50, 57.50, 57.50 degrees
Fractional positions:
1 K 0.000 0.000 0.000
2 K 0.489 0.489 0.489
3 Dy 0.693 0.693 0.693
4 Tl 0.201 0.201 0.201
5 I 0.036 0.456 0.811
6 I 0.342 0.903 0.586
7 I 0.456 0.811 0.036
8 I 0.586 0.342 0.903
9 I 0.811 0.036 0.456
10 I 0.903 0.586 0.342

Output
Space group: R3, No. 146
Formation energy without anion corrections, meV/atom: -1282
VASP energy, eV per atom: -3.129

=====

Entry 4:
Crystalline La2DyI at its relaxed geometry, computed with PBE.

Cell lengths 11.142, 11.142, 11.142 Å; angles 19.98, 19.98, 19.98 degrees
Fractional positions:
1 La 0.000 0.000 0.000
2 La 0.174 0.174 0.174
3 Dy 0.754 0.754 0.754
4 I 0.588 0.588 0.588

Output
Space group: R3m, No. 160
Formation energy without anion corrections, meV/atom: -424
VASP energy, eV per atom: -4.426

=====

Entry 5:
Crystalline LaDyI2 at its relaxed geometry, computed with PBE.

Cell lengths 9.824, 9.824, 9.824 Å; angles 22.88, 22.88, 22.88 degrees
Fractional positions:
1 La 0.000 0.000 0.000
2 Dy 0.163 0.163 0.163
3 I 0.418 0.418 0.418
4 I 0.577 0.577 0.577

Output
Space group: R3m, No. 160
Formation energy without anion corrections, meV/atom: -852
VASP energy, eV per atom: -4.009

=====

Entry 6:
Crystalline LaDyI2 at its relaxed geometry, computed with PBE.

Cell lengths 11.190, 11.190, 11.190 Å; angles 19.92, 19.92, 19.92 degrees
Fractional positions:
1 La 0.000 0.000 0.000
2 Dy 0.500 0.500 0.500
3 I 0.100 0.100 0.100
4 I 0.900 0.900 0.900

Output
Space group: R-3m, No. 166
Formation energy without anion corrections, meV/atom: -711
VASP energy, eV per atom: -3.868

=====

Entry 7:
Crystalline LaDyI6 at its relaxed geometry, computed with PBE.

Cell lengths 8.231, 8.231, 7.661 Å; angles 98.11, 98.11, 124.49 degrees
Fractional positions:
1 La 0.000 0.000 0.000
2 Dy 0.500 0.500 0.500
3 I 0.116 0.410 0.260
4 I 0.252 0.252 0.743
5 I 0.410 0.116 0.260
6 I 0.590 0.884 0.740
7 I 0.748 0.748 0.257
8 I 0.884 0.590 0.740

Output
Space group: C2/m, No. 12
Formation energy without anion corrections, meV/atom: -1417
VASP energy, eV per atom: -3.771

=====

Entry 8:
Crystalline La2DyI at its relaxed geometry, computed with PBE.

Cell lengths 3.759, 3.759, 9.826 Å; angles 90.00, 90.00, 90.00 degrees
Fractional positions:
1 La 0.000 0.000 0.242
2 La 0.000 0.000 0.758
3 Dy 0.500 0.500 0.500
4 I 0.500 0.500 0.000

Output
Space group: P4/mmm, No. 123
Formation energy without anion corrections, meV/atom: -383
VASP energy, eV per atom: -4.385

=====

Entry 9:
Crystalline La2DyI at its relaxed geometry, computed with PBE.

Cell lengths 12.021, 12.021, 12.021 Å; angles 17.64, 17.64, 17.64 degrees
Fractional positions:
1 La 0.093 0.093 0.093
2 La 0.907 0.907 0.907
3 Dy 0.000 0.000 0.000
4 I 0.500 0.500 0.500

Output
Space group: R-3m, No. 166
Formation energy without anion corrections, meV/atom: -197
VASP energy, eV per atom: -4.198

=====

Entry 10:
Crystalline LaDyI at its relaxed geometry, computed with PBE.

Cell lengths 5.442, 5.442, 3.868 Å; angles 90.00, 90.00, 120.00 degrees
Fractional positions:
1 La 0.000 0.000 0.000
2 Dy 0.667 0.333 0.501
3 I 0.333 0.667 0.504

Output
Space group: P3m1, No. 156
Formation energy without anion corrections, meV/atom: -243
VASP energy, eV per atom: -3.936

=====

Entry 11:
Crystalline La2DyI6 at its relaxed geometry, computed with PBE.

Cell lengths 8.035, 8.035, 12.197 Å; angles 90.00, 90.00, 90.00 degrees
Fractional positions:
1 La 0.000 0.000 0.160
2 La 0.000 0.000 0.840
3 La 0.500 0.500 0.340
4 La 0.500 0.500 0.660
5 Dy 0.000 0.000 0.500
6 Dy 0.500 0.500 0.000
7 I 0.210 0.210 0.338
8 I 0.210 0.210 0.662
9 I 0.228 0.228 0.000
10 I 0.272 0.728 0.500
11 I 0.290 0.710 0.162
12 I 0.290 0.710 0.838
13 I 0.710 0.290 0.162
14 I 0.710 0.290 0.838
15 I 0.728 0.272 0.500
16 I 0.772 0.772 0.000
17 I 0.790 0.790 0.338
18 I 0.790 0.790 0.662

Output
Space group: P4_2/mnm, No. 136
Formation energy without anion corrections, meV/atom: -1220
VASP energy, eV per atom: -3.860

=====

Entry 12:
Crystalline LaDyI4 at its relaxed geometry, computed with PBE.

Cell lengths 7.397, 4.208, 8.503 Å; angles 90.00, 105.98, 90.00 degrees
Fractional positions:
1 La 0.000 0.000 0.000
2 Dy 0.500 0.500 0.000
3 I 0.263 0.500 0.251
4 I 0.269 0.000 0.760
5 I 0.731 0.000 0.240
6 I 0.737 0.500 0.749

Output
Space group: P2/m, No. 10
Formation energy without anion corrections, meV/atom: -1289
VASP energy, eV per atom: -3.911

=====

Entry 13:
Crystalline LaDyI6 at its relaxed geometry, computed with PBE.

Cell lengths 8.358, 8.358, 8.358 Å; angles 55.40, 55.40, 55.40 degrees
Fractional positions:
1 La 0.000 0.000 0.000
2 Dy 0.500 0.500 0.500
3 I 0.096 0.741 0.418
4 I 0.259 0.582 0.904
5 I 0.418 0.096 0.741
6 I 0.582 0.904 0.259
7 I 0.741 0.418 0.096
8 I 0.904 0.259 0.582

Output
Space group: R-3, No. 148
Formation energy without anion corrections, meV/atom: -1395
VASP energy, eV per atom: -3.749

=====

Entry 14:
Crystalline LaDyNiI at its relaxed geometry, computed with PBE.

Cell lengths 8.387, 8.387, 8.387 Å; angles 28.25, 28.25, 28.25 degrees
Fractional positions:
1 La 0.000 0.000 0.000
2 Dy 0.788 0.788 0.788
3 Ni 0.396 0.396 0.396
4 I 0.222 0.222 0.222

Output
Space group: R3m, No. 160
Formation energy without anion corrections, meV/atom: -693
VASP energy, eV per atom: -4.908

=====

Entry 15:
Crystalline LaDy2IO8 at its relaxed geometry, computed with PBE.

Cell lengths 5.050, 5.050, 7.050 Å; angles 90.00, 90.00, 90.24 degrees
Fractional positions:
1 La 0.000 0.000 0.000
2 Dy 0.500 0.500 0.250
3 Dy 0.500 0.500 0.750
4 I 0.000 0.000 0.500
5 O 0.184 0.184 0.302
6 O 0.184 0.184 0.698
7 O 0.267 0.733 0.500
8 O 0.318 0.682 0.000
9 O 0.682 0.318 0.000
10 O 0.733 0.267 0.500
11 O 0.816 0.816 0.302
12 O 0.816 0.816 0.698

Output
Space group: Cmmm, No. 65
Formation energy without anion corrections, meV/atom: -2333
VASP energy, eV per atom: -6.946

=====

Entry 16:
Crystalline LaDyPI at its relaxed geometry, computed with PBE.

Cell lengths 8.075, 8.075, 8.075 Å; angles 29.80, 29.80, 29.80 degrees
Fractional positions:
1 La 0.000 0.000 0.000
2 Dy 0.795 0.795 0.795
3 P 0.405 0.405 0.405
4 I 0.225 0.225 0.225

Output
Space group: R3m, No. 160
Formation energy without anion corrections, meV/atom: -1378
VASP energy, eV per atom: -5.500

=====

Entry 17:
Crystalline La2DyP2I2 at its relaxed geometry, computed with PBE.

Cell lengths 9.179, 9.179, 9.179 Å; angles 146.65, 146.65, 47.88 degrees
Fractional positions:
1 La 0.098 0.098 0.000
2 La 0.902 0.902 0.000
3 Dy 0.500 0.500 0.000
4 P 0.000 0.500 0.500
5 P 0.500 0.000 0.500
6 I 0.311 0.311 0.000
7 I 0.689 0.689 0.000

Output
Space group: I4/mmm, No. 139
Formation energy without anion corrections, meV/atom: -1286
VASP energy, eV per atom: -5.340

=====

Entry 18:
Crystalline LaDyPtI at its relaxed geometry, computed with PBE.

Cell lengths 8.469, 8.469, 8.469 Å; angles 28.85, 28.85, 28.85 degrees
Fractional positions:
1 La 0.000 0.000 0.000
2 Dy 0.209 0.209 0.209
3 Pt 0.600 0.600 0.600
4 I 0.775 0.775 0.775

Output
Space group: R3m, No. 160
Formation energy without anion corrections, meV/atom: -1159
VASP energy, eV per atom: -5.439

=====

Entry 19:
Crystalline La2DyPt2I2 at its relaxed geometry, computed with PBE.

Cell lengths 9.148, 9.148, 9.148 Å; angles 146.48, 146.48, 48.14 degrees
Fractional positions:
1 La 0.105 0.105 0.000
2 La 0.895 0.895 0.000
3 Dy 0.500 0.500 0.000
4 Pt 0.000 0.500 0.500
5 Pt 0.500 0.000 0.500
6 I 0.308 0.308 0.000
7 I 0.692 0.692 0.000

Output
Space group: I4/mmm, No. 139
Formation energy without anion corrections, meV/atom: -1030
VASP energy, eV per atom: -5.264

=====

Entry 20:
Crystalline La2DyRh2I2 at its relaxed geometry, computed with PBE.

Cell lengths 9.217, 9.217, 9.217 Å; angles 147.68, 147.68, 46.36 degrees
Fractional positions:
1 La 0.106 0.106 0.000
2 La 0.894 0.894 0.000
3 Dy 0.500 0.500 0.000
4 Rh 0.000 0.500 0.500
5 Rh 0.500 0.000 0.500
6 I 0.309 0.309 0.000
7 I 0.691 0.691 0.000

Output
Space group: I4/mmm, No. 139
Formation energy without anion corrections, meV/atom: -802
VASP energy, eV per atom: -5.411

=====

Entry 21:
Crystalline LaDyRuI at its relaxed geometry, computed with PBE.

Cell lengths 8.494, 8.494, 8.494 Å; angles 27.94, 27.94, 27.94 degrees
Fractional positions:
1 La 0.000 0.000 0.000
2 Dy 0.789 0.789 0.789
3 Ru 0.394 0.394 0.394
4 I 0.221 0.221 0.221

Output
Space group: R3m, No. 160
Formation energy without anion corrections, meV/atom: -684
VASP energy, eV per atom: -5.773

=====

Entry 22:
Crystalline Li2DyI4 at its relaxed geometry, computed with PBE.

Cell lengths 8.600, 8.600, 8.148 Å; angles 118.27, 118.27, 72.41 degrees
Fractional positions:
1 Li 0.000 0.000 0.000
2 Li 0.000 0.000 0.500
3 Li 0.000 0.500 0.000
4 Li 0.500 0.000 0.000
5 Dy 0.497 0.497 0.746
6 Dy 0.503 0.503 0.254
7 I 0.195 0.797 0.246
8 I 0.203 0.805 0.754
9 I 0.290 0.290 0.286
10 I 0.290 0.290 0.794
11 I 0.710 0.710 0.206
12 I 0.710 0.710 0.714
13 I 0.797 0.195 0.246
14 I 0.805 0.203 0.754

Output
Space group: C2/m, No. 12
Formation energy without anion corrections, meV/atom: -1118
VASP energy, eV per atom: -3.208

=====

Entry 23:
Crystalline Li3DyI6 at its relaxed geometry, computed with PBE.

Cell lengths 8.469, 8.470, 8.476 Å; angles 61.37, 61.35, 61.28 degrees
Fractional positions:
1 Li 0.000 0.000 0.000
2 Li 0.000 0.500 0.500
3 Li 0.500 0.000 0.500
4 Dy 0.500 0.500 0.500
5 I 0.230 0.732 0.270
6 I 0.249 0.249 0.751
7 I 0.272 0.766 0.734
8 I 0.728 0.234 0.266
9 I 0.751 0.751 0.249
10 I 0.770 0.268 0.730

Output
Space group: P-1, No. 2
Formation energy without anion corrections, meV/atom: -1198
VASP energy, eV per atom: -3.163

=====

Entry 24:
Crystalline LiDyI2 at its relaxed geometry, computed with PBE.

Cell lengths 10.145, 10.145, 10.145 Å; angles 22.54, 22.54, 22.54 degrees
Fractional positions:
1 Li 0.000 0.000 0.000
2 Dy 0.500 0.500 0.500
3 I 0.095 0.095 0.095
4 I 0.905 0.905 0.905

Output
Space group: R-3m, No. 166
Formation energy without anion corrections, meV/atom: -768
VASP energy, eV per atom: -3.172

=====

Entry 25:
Crystalline Li2DyI6 at its relaxed geometry, computed with PBE.

Cell lengths 7.497, 7.497, 13.372 Å; angles 119.28, 119.28, 35.22 degrees
Fractional positions:
1 Li 0.124 0.124 0.203
2 Li 0.876 0.876 0.797
3 Dy 0.000 0.000 0.500
4 I 0.038 0.038 0.740
5 I 0.330 0.330 0.431
6 I 0.366 0.366 0.910
7 I 0.634 0.634 0.090
8 I 0.670 0.670 0.569
9 I 0.962 0.962 0.260

Output
Space group: C2/m, No. 12
Formation energy without anion corrections, meV/atom: -1054
VASP energy, eV per atom: -3.024